## LaAlCrPt2 (PBE)

Data for a relaxed structure of LaAlCrPt2.

**Uncorrected energy**: -0.340 Ry/atom
**DFT formation energy**: 1.45 eV/atom
**D(E_F)**: 10.1 states/eV per cell

a = 5.210 Å, b = 4.708 Å, c = 5.210 Å
α = 90.00°, β = 90.00°, γ = 90.00°
Atoms (fractional coordinates):
1 Cr 0.000 0.500 0.000
2 Al 0.500 0.500 0.500
3 Pt 0.000 0.000 0.500
4 Pt 0.500 0.000 0.000
5 La 0.000 0.000 0.000